Crystalline NiP2Os at its relaxed geometry. Source: the Alexandria database, functional PBE.

a = 3.3770 Å, b = 3.8100 Å, c = 4.3839 Å
α = 90.00°, β = 96.69°, γ = 90.00°
Space group P2/m (No. 10)
Symmetry-distinct sites (fractional):
1 Ni 0.0000 0.0000 0.0000
2 P 0.3241 0.5000 0.1897
3 Os 0.5000 0.0000 0.5000

## Properties
VASP energy   -0.506 Ry per atom
Magnetization   0.0 Bohr magnetons per cell
Crystal system   monoclinic